Record 1
The following is a DFT calculation (PBE) of a geometry-optimized Gd2AgIr structure.

a = 3.524 Å, b = 3.524 Å, c = 7.377 Å
α = 90.00°, β = 90.00°, γ = 90.00°
Atoms (fractional coordinates):
1 Gd 0.000 0.000 0.224
2 Gd 0.000 0.000 0.776
3 Ag 0.500 0.500 0.500
4 Ir 0.500 0.500 0.000

Space group   P4/mmm
Energy relative to the elements   -0.557 eV per atom
Total magnetic moment   14.44 μB per formula unit

***

Record 2
The following is a DFT calculation (PBE) of a geometry-optimized Pu2NpGe structure.

a = 3.718 Å, b = 3.718 Å, c = 19.196 Å
α = 90.00°, β = 90.00°, γ = 120.00°
Atoms (fractional coordinates):
1 Pu 0.000 0.000 0.233
2 Pu 0.000 0.000 0.767
3 Pu 0.333 0.667 0.433
4 Pu 0.333 0.667 0.900
5 Pu 0.667 0.333 0.100
6 Pu 0.667 0.333 0.567
7 Np 0.000 0.000 0.500
8 Np 0.333 0.667 0.167
9 Np 0.667 0.333 0.833
10 Ge 0.000 0.000 0.000
11 Ge 0.333 0.667 0.667
12 Ge 0.667 0.333 0.333

Space group   R-3m
Energy relative to the elements   0.082 eV per atom
Total magnetic moment   3.58 μB per formula unit

***

Record 3
The following is a DFT calculation (PBE) of a geometry-optimized Ga3AgCl structure.

a = 5.319 Å, b = 5.319 Å, c = 5.319 Å
α = 90.00°, β = 90.00°, γ = 90.00°
Atoms (fractional coordinates):
1 Ga 0.000 0.000 0.500
2 Ga 0.000 0.500 0.000
3 Ga 0.500 0.000 0.000
4 Ag 0.500 0.500 0.500
5 Cl 0.000 0.000 0.000

Space group   Pm-3m
Formation energy (no corrections)   364 meV/atom
Total magnetic moment   0.00 μB per formula unit

***

Record 4
The following is a DFT calculation (PBE) of a geometry-optimized Cu2PtCl structure.

a = 3.034 Å, b = 3.034 Å, c = 22.562 Å
α = 90.00°, β = 90.00°, γ = 120.00°
Atoms (fractional coordinates):
1 Cu 0.000 0.000 0.247
2 Cu 0.000 0.000 0.753
3 Cu 0.333 0.667 0.419
4 Cu 0.333 0.667 0.914
5 Cu 0.667 0.333 0.086
6 Cu 0.667 0.333 0.581
7 Pt 0.000 0.000 0.000
8 Pt 0.333 0.667 0.667
9 Pt 0.667 0.333 0.333
10 Cl 0.000 0.000 0.500
11 Cl 0.333 0.667 0.167
12 Cl 0.667 0.333 0.833

Space group   R-3m
Formation energy (no corrections)   12 meV/atom
Total magnetic moment   0.00 μB per formula unit

***

Record 5
The following is a DFT calculation (PBE) of a geometry-optimized Ca2Pr6Ho3 structure.

a = 13.605 Å, b = 13.605 Å, c = 13.605 Å
α = 24.78°, β = 24.78°, γ = 24.78°
Atoms (fractional coordinates):
1 Ca 0.043 0.043 0.043
2 Ca 0.957 0.957 0.957
3 Pr 0.131 0.131 0.131
4 Pr 0.313 0.313 0.313
5 Pr 0.410 0.410 0.410
6 Pr 0.590 0.590 0.590
7 Pr 0.687 0.687 0.687
8 Pr 0.869 0.869 0.869
9 Ho 0.220 0.220 0.220
10 Ho 0.500 0.500 0.500
11 Ho 0.780 0.780 0.780

Space group   R-3m
Energy relative to the elements   0.104 eV per atom
Total magnetic moment   0.00 μB per formula unit

***

Record 6
The following is a DFT calculation (PBE) of a geometry-optimized TiSb2Pd8 structure.

a = 7.663 Å, b = 7.663 Å, c = 6.485 Å
α = 110.16°, β = 110.16°, γ = 30.99°
Atoms (fractional coordinates):
1 Ti 0.000 0.000 0.000
2 Sb 0.302 0.302 0.335
3 Sb 0.698 0.698 0.665
4 Pd 0.089 0.089 0.447
5 Pd 0.171 0.171 0.928
6 Pd 0.352 0.352 0.788
7 Pd 0.465 0.465 0.246
8 Pd 0.535 0.535 0.754
9 Pd 0.648 0.648 0.212
10 Pd 0.829 0.829 0.072
11 Pd 0.911 0.911 0.553

Space group   C2/m
Formation energy (no corrections)   -477 meV/atom
Total magnetic moment   0.00 μB per formula unit

***

Record 7
The following is a DFT calculation (PBE) of a geometry-optimized LiAl3 structure.

a = 5.000 Å, b = 9.213 Å, c = 5.717 Å
α = 90.00°, β = 90.00°, γ = 90.00°
Atoms (fractional coordinates):
1 Li 0.090 0.250 0.129
2 Li 0.410 0.750 0.629
3 Li 0.590 0.250 0.371
4 Li 0.910 0.750 0.871
5 Al 0.092 0.250 0.630
6 Al 0.250 0.001 0.379
7 Al 0.250 0.499 0.379
8 Al 0.250 0.501 0.879
9 Al 0.250 0.999 0.879
10 Al 0.408 0.750 0.130
11 Al 0.592 0.250 0.870
12 Al 0.750 0.001 0.121
13 Al 0.750 0.499 0.121
14 Al 0.750 0.501 0.621
15 Al 0.750 0.999 0.621
16 Al 0.908 0.750 0.370

Space group   Pnma
Energy relative to the elements   -0.061 eV per atom
Total magnetic moment   0.00 μB per formula unit

***

Record 8
The following is a DFT calculation (PBE) of a geometry-optimized La4Mg2Ag structure.

a = 9.433 Å, b = 9.433 Å, c = 9.433 Å
α = 33.87°, β = 33.87°, γ = 33.87°
Atoms (fractional coordinates):
1 La 0.122 0.122 0.122
2 La 0.373 0.373 0.373
3 La 0.627 0.627 0.627
4 La 0.878 0.878 0.878
5 Mg 0.248 0.248 0.248
6 Mg 0.752 0.752 0.752
7 Ag 0.500 0.500 0.500

Space group   R-3m
Energy relative to the elements   0.057 eV per atom
Total magnetic moment   0.00 μB per formula unit

***

Record 9
The following is a DFT calculation (PBE) of a geometry-optimized LiTmSi2Pd structure.

a = 3.945 Å, b = 3.945 Å, c = 10.616 Å
α = 90.00°, β = 90.00°, γ = 90.00°
Atoms (fractional coordinates):
1 Li 0.000 0.000 0.000
2 Li 0.500 0.500 0.500
3 Tm 0.000 0.500 0.750
4 Tm 0.500 0.000 0.250
5 Si 0.000 0.500 0.141
6 Si 0.000 0.500 0.359
7 Si 0.500 0.000 0.641
8 Si 0.500 0.000 0.859
9 Pd 0.000 0.000 0.500
10 Pd 0.500 0.500 0.000

Space group   I-4m2
Formation energy (no corrections)   -761 meV/atom
Total magnetic moment   0.00 μB per formula unit

***

Record 10
The following is a DFT calculation (PBE) of a geometry-optimized BaAs2PbSe8 structure.

a = 6.189 Å, b = 6.189 Å, c = 10.582 Å
α = 90.00°, β = 90.00°, γ = 120.00°
Atoms (fractional coordinates):
1 Ba 0.000 0.000 0.000
2 As 0.333 0.667 0.770
3 As 0.667 0.333 0.230
4 Pb 0.000 0.000 0.500
5 Se 0.075 0.688 0.293
6 Se 0.312 0.387 0.293
7 Se 0.333 0.667 0.990
8 Se 0.387 0.075 0.707
9 Se 0.613 0.925 0.293
10 Se 0.667 0.333 0.010
11 Se 0.688 0.613 0.707
12 Se 0.925 0.312 0.707

Space group   P-3
Formation energy (no corrections)   -345 meV/atom
Total magnetic moment   0.00 μB per formula unit

***

Record 11
The following is a DFT calculation (PBE) of a geometry-optimized Pu4Si structure.

a = 6.321 Å, b = 6.321 Å, c = 6.763 Å
α = 107.16°, β = 107.16°, γ = 48.73°
Atoms (fractional coordinates):
1 Pu 0.058 0.357 0.213
2 Pu 0.078 0.922 0.500
3 Pu 0.189 0.496 0.576
4 Pu 0.325 0.681 0.190
5 Pu 0.357 0.058 0.713
6 Pu 0.496 0.189 0.076
7 Pu 0.681 0.325 0.690
8 Pu 0.922 0.078 0.000
9 Si 0.623 0.905 0.387
10 Si 0.905 0.623 0.887

Space group   Cc
Formation energy (no corrections)   42 meV/atom
Total magnetic moment   2.03 μB per formula unit

***

Record 12
The following is a DFT calculation (PBE) of a geometry-optimized CdOs2Rh structure.

a = 2.810 Å, b = 2.810 Å, c = 7.913 Å
α = 90.00°, β = 90.00°, γ = 90.00°
Atoms (fractional coordinates):
1 Cd 0.000 0.000 0.000
2 Os 0.000 0.000 0.496
3 Os 0.500 0.500 0.281
4 Rh 0.500 0.500 0.733

Space group   P4mm
Energy relative to the elements   0.171 eV per atom
Total magnetic moment   0.00 μB per formula unit

***

Record 13
The following is a DFT calculation (PBE) of a geometry-optimized CdSn2Au structure.

a = 3.318 Å, b = 3.318 Å, c = 8.800 Å
α = 90.00°, β = 90.00°, γ = 90.00°
Atoms (fractional coordinates):
1 Cd 0.000 0.000 0.000
2 Sn 0.500 0.500 0.281
3 Sn 0.500 0.500 0.719
4 Au 0.000 0.000 0.500

Space group   P4/mmm
Energy relative to the elements   -0.014 eV per atom
Total magnetic moment   0.00 μB per formula unit

***

Record 14
The following is a DFT calculation (PBE) of a geometry-optimized Ba3Cd5O12 structure.

a = 12.279 Å, b = 12.279 Å, c = 12.279 Å
α = 109.47°, β = 109.47°, γ = 109.47°
Atoms (fractional coordinates):
1 Ba 0.125 0.250 0.375
2 Ba 0.125 0.375 0.750
3 Ba 0.250 0.375 0.125
4 Ba 0.250 0.875 0.625
5 Ba 0.375 0.125 0.250
6 Ba 0.375 0.750 0.125
7 Ba 0.625 0.250 0.875
8 Ba 0.625 0.875 0.750
9 Ba 0.750 0.125 0.375
10 Ba 0.750 0.625 0.875
11 Ba 0.875 0.625 0.250
12 Ba 0.875 0.750 0.625
13 Cd 0.000 0.000 0.000
14 Cd 0.000 0.000 0.500
15 Cd 0.000 0.500 0.000
16 Cd 0.000 0.500 0.500
17 Cd 0.125 0.750 0.875
18 Cd 0.125 0.875 0.250
19 Cd 0.250 0.125 0.875
20 Cd 0.250 0.625 0.375
21 Cd 0.375 0.250 0.625
22 Cd 0.375 0.625 0.750
23 Cd 0.500 0.000 0.000
24 Cd 0.500 0.000 0.500
25 Cd 0.500 0.500 0.000
26 Cd 0.500 0.500 0.500
27 Cd 0.625 0.375 0.250
28 Cd 0.625 0.750 0.375
29 Cd 0.750 0.375 0.625
30 Cd 0.750 0.875 0.125
31 Cd 0.875 0.125 0.750
32 Cd 0.875 0.250 0.125
33 O 0.028 0.201 0.120
34 O 0.028 0.327 0.908
35 O 0.081 0.701 0.673
36 O 0.081 0.880 0.408
37 O 0.092 0.620 0.419
38 O 0.092 0.972 0.673
39 O 0.120 0.028 0.201
40 O 0.120 0.592 0.919
41 O 0.173 0.201 0.581
42 O 0.173 0.472 0.592
43 O 0.201 0.120 0.028
44 O 0.201 0.581 0.173
45 O 0.299 0.327 0.919
46 O 0.299 0.472 0.380
47 O 0.327 0.908 0.028
48 O 0.327 0.919 0.299
49 O 0.380 0.299 0.472
50 O 0.380 0.581 0.908
51 O 0.408 0.081 0.880
52 O 0.408 0.827 0.528
53 O 0.419 0.092 0.620
54 O 0.419 0.827 0.799
55 O 0.472 0.380 0.299
56 O 0.472 0.592 0.173
57 O 0.528 0.408 0.827
58 O 0.528 0.620 0.701
59 O 0.581 0.173 0.201
60 O 0.581 0.908 0.380
61 O 0.592 0.173 0.472
62 O 0.592 0.919 0.120
63 O 0.620 0.419 0.092
64 O 0.620 0.701 0.528
65 O 0.673 0.081 0.701
66 O 0.673 0.092 0.972
67 O 0.701 0.528 0.620
68 O 0.701 0.673 0.081
69 O 0.799 0.419 0.827
70 O 0.799 0.880 0.972
71 O 0.827 0.528 0.408
72 O 0.827 0.799 0.419
73 O 0.880 0.408 0.081
74 O 0.880 0.972 0.799
75 O 0.908 0.028 0.327
76 O 0.908 0.380 0.581
77 O 0.919 0.120 0.592
78 O 0.919 0.299 0.327
79 O 0.972 0.673 0.092
80 O 0.972 0.799 0.880

Space group   Ia-3d
Formation energy (no corrections)   -974 meV/atom
Total magnetic moment   8.05 μB per formula unit

***

Record 15
The following is a DFT calculation (PBE) of a geometry-optimized Ac8NiRh3I4 structure.

a = 8.744 Å, b = 8.744 Å, c = 10.032 Å
α = 115.81°, β = 115.81°, γ = 60.07°
Atoms (fractional coordinates):
1 Ac 0.227 0.227 0.682
2 Ac 0.228 0.729 0.684
3 Ac 0.271 0.271 0.314
4 Ac 0.271 0.772 0.316
5 Ac 0.729 0.228 0.684
6 Ac 0.729 0.729 0.686
7 Ac 0.772 0.271 0.316
8 Ac 0.773 0.773 0.318
9 Ni 0.000 0.000 0.500
10 Rh 0.000 0.500 0.500
11 Rh 0.500 0.000 0.500
12 Rh 0.500 0.500 0.500
13 I 0.000 0.000 0.000
14 I 0.000 0.500 0.000
15 I 0.500 0.000 0.000
16 I 0.500 0.500 0.000

Space group   C2/m
Formation energy (no corrections)   -961 meV/atom
Total magnetic moment   0.00 μB per formula unit

***

Record 16
The following is a DFT calculation (PBE) of a geometry-optimized Pm2FeGe4Rh3 structure.

a = 4.269 Å, b = 4.269 Å, c = 9.870 Å
α = 90.00°, β = 90.00°, γ = 90.00°
Atoms (fractional coordinates):
1 Pm 0.000 0.500 0.248
2 Pm 0.500 0.000 0.752
3 Fe 0.500 0.500 0.000
4 Ge 0.000 0.000 0.500
5 Ge 0.000 0.500 0.878
6 Ge 0.500 0.000 0.122
7 Ge 0.500 0.500 0.500
8 Rh 0.000 0.000 0.000
9 Rh 0.000 0.500 0.628
10 Rh 0.500 0.000 0.372

Space group   P-4m2
Energy relative to the elements   -0.735 eV per atom
Total magnetic moment   0.00 μB per formula unit

***

Record 17
The following is a DFT calculation (PBE) of a geometry-optimized Sc2TeI structure.

a = 6.553 Å, b = 6.553 Å, c = 13.093 Å
α = 90.00°, β = 90.00°, γ = 90.00°
Atoms (fractional coordinates):
1 Sc 0.240 0.250 0.125
2 Sc 0.250 0.740 0.375
3 Sc 0.250 0.760 0.875
4 Sc 0.260 0.250 0.625
5 Sc 0.740 0.750 0.625
6 Sc 0.750 0.240 0.875
7 Sc 0.750 0.260 0.375
8 Sc 0.760 0.750 0.125
9 Te 0.000 0.000 0.000
10 Te 0.000 0.500 0.250
11 Te 0.500 0.000 0.750
12 Te 0.500 0.500 0.500
13 I 0.000 0.000 0.500
14 I 0.000 0.500 0.750
15 I 0.500 0.000 0.250
16 I 0.500 0.500 0.000

Space group   I-42d
Formation energy (no corrections)   -438 meV/atom
Total magnetic moment   0.00 μB per formula unit

***

Record 18
The following is a DFT calculation (PBE) of a geometry-optimized KLi2Ir structure.

a = 5.186 Å, b = 5.186 Å, c = 16.159 Å
α = 90.00°, β = 90.00°, γ = 90.00°
Atoms (fractional coordinates):
1 K 0.000 0.000 0.000
2 K 0.000 0.500 0.250
3 K 0.500 0.000 0.750
4 K 0.500 0.500 0.500
5 Li 0.010 0.250 0.625
6 Li 0.250 0.510 0.875
7 Li 0.250 0.990 0.375
8 Li 0.490 0.250 0.125
9 Li 0.510 0.750 0.125
10 Li 0.750 0.010 0.375
11 Li 0.750 0.490 0.875
12 Li 0.990 0.750 0.625
13 Ir 0.000 0.000 0.500
14 Ir 0.000 0.500 0.750
15 Ir 0.500 0.000 0.250
16 Ir 0.500 0.500 0.000

Space group   I-42d
Energy relative to the elements   0.593 eV per atom
Total magnetic moment   0.01 μB per formula unit

***

Record 19
The following is a DFT calculation (PBE) of a geometry-optimized RbY2Sn2 structure.

a = 9.462 Å, b = 9.462 Å, c = 3.453 Å
α = 90.00°, β = 90.00°, γ = 90.00°
Atoms (fractional coordinates):
1 Rb 0.000 0.000 0.000
2 Rb 0.500 0.500 0.000
3 Y 0.131 0.369 0.000
4 Y 0.369 0.869 0.000
5 Y 0.631 0.131 0.000
6 Y 0.869 0.631 0.000
7 Sn 0.163 0.663 0.500
8 Sn 0.337 0.163 0.500
9 Sn 0.663 0.837 0.500
10 Sn 0.837 0.337 0.500

Space group   P4/mbm
Energy relative to the elements   -0.454 eV per atom
Total magnetic moment   0.31 μB per formula unit

***

Record 20
The following is a DFT calculation (PBE) of a geometry-optimized Tb4HoEr2Sc structure.

a = 4.968 Å, b = 4.968 Å, c = 9.869 Å
α = 90.00°, β = 90.00°, γ = 90.00°
Atoms (fractional coordinates):
1 Tb 0.000 0.500 0.245
2 Tb 0.000 0.500 0.755
3 Tb 0.500 0.000 0.245
4 Tb 0.500 0.000 0.755
5 Ho 0.000 0.000 0.500
6 Er 0.000 0.000 0.000
7 Er 0.500 0.500 0.500
8 Sc 0.500 0.500 0.000

Space group   P4/mmm
Energy relative to the elements   0.030 eV per atom
Total magnetic moment   0.00 μB per formula unit